A relaxed structure of Nd3Al2Ni6. Source: Alexandria via LeMat-Bulk, functional PBE-GGA.

The total energy is -245.76 eV for the cell shown. The density of states at the Fermi level comes out at 28.64 states/eV/cell. The calculated density comes out at 7.41 g/cm³.

The space group is Im-3m (No. 229) and the conventional cell measures 9.092, 9.092 and 9.092 Å, with angles of 90.00, 90.00 and 90.00 degrees. Symmetry generates all atoms from Nd at (0.000, 0.000, 0.292), Al at (0.250, 0.250, 0.250) and Ni at (0.000, 0.333, 0.333).